Material: CaBe2F
Method: DFT, PBE-GGA
State: relaxed

## Properties
The polymorph energy (0 for the lowest one) comes out at 0 meV/atom. The crystal system is tetragonal. The value obtained for the uncorrected formation energy is -0.103 eV per atom.

```
data_CaBe2F
_chemical_formula_sum 'Ca4 Be8 F4'
_cell_length_a 5.7930
_cell_length_b 5.7930
_cell_length_c 8.2008
_cell_angle_alpha 90.00
_cell_angle_beta 90.00
_cell_angle_gamma 90.00
_symmetry_space_group_name_H-M 'I -4 2 d'
_symmetry_Int_Tables_number 122
_symmetry_space_group_name_Hall 'I -4 2bw'
loop_
_atom_site_label
_atom_site_fract_x
_atom_site_fract_y
_atom_site_fract_z
Ca1 0.0000 0.0000 0.0000
Be1 0.0019 0.2500 0.6250
F1 0.0000 0.0000 0.5000
```

---

Material: Ca2BeF6
Method: DFT, PBE-GGA
State: relaxed

## Properties
The polymorph energy (0 for the lowest one) comes out at 89 meV/atom. The crystal system is tetragonal. The value obtained for the uncorrected formation energy is -3.528 eV per atom.

```
data_Ca2BeF6
_chemical_formula_sum 'Ca4 Be2 F12'
_cell_length_a 4.8971
_cell_length_b 4.8971
_cell_length_c 9.6835
_cell_angle_alpha 90.00
_cell_angle_beta 90.00
_cell_angle_gamma 90.00
_symmetry_space_group_name_H-M 'P 42/m n m'
_symmetry_Int_Tables_number 136
_symmetry_space_group_name_Hall '-P 4n 2n'
loop_
_atom_site_label
_atom_site_fract_x
_atom_site_fract_y
_atom_site_fract_z
Ca1 0.0000 0.0000 0.1657
Be1 0.0000 0.0000 0.5000
F1 0.1778 0.1778 0.3631
F2 0.2370 0.2370 0.0000
```

---

Material: Ca2Be2F7
Method: DFT, PBE-GGA
State: relaxed

## Properties
The crystal system is monoclinic. The value obtained for the uncorrected formation energy is -3.300 eV per atom.

```
data_Ca2Be2F7
_chemical_formula_sum 'Ca4 Be4 F14'
_cell_length_a 7.2327
_cell_length_b 9.8213
_cell_length_c 4.2515
_cell_angle_alpha 90.00
_cell_angle_beta 102.68
_cell_angle_gamma 90.00
_symmetry_space_group_name_H-M 'C 1 2/m 1'
_symmetry_Int_Tables_number 12
loop_
_symmetry_equiv_pos_as_xyz
'x,y,z'
'-x,-y,-z'
'-x,y,-z'
'x,-y,z'
'x+1/2,y+1/2,z'
'-x+1/2,-y+1/2,-z'
'-x+1/2,y+1/2,-z'
'x+1/2,-y+1/2,z'
loop_
_atom_site_label
_atom_site_fract_x
_atom_site_fract_y
_atom_site_fract_z
Ca1 0.0000 0.1931 0.0000
Be1 0.1965 0.5000 0.3907
F1 0.0000 0.5000 0.5000
F2 0.1370 0.0000 0.3016
F3 0.2123 0.3687 0.1830
```

---

Material: CaBeIF2
Method: DFT, PBE-GGA
State: relaxed

## Properties
The crystal system is tetragonal. The value obtained for the uncorrected formation energy is -1.383 eV per atom.

```
data_CaBeIF2
_chemical_formula_sum 'Ca1 Be1 I1 F2'
_cell_length_a 4.0007
_cell_length_b 4.0007
_cell_length_c 6.3390
_cell_angle_alpha 90.00
_cell_angle_beta 90.00
_cell_angle_gamma 90.00
_symmetry_space_group_name_H-M 'P 4/m m m'
_symmetry_Int_Tables_number 123
_symmetry_space_group_name_Hall '-P 4 2'
loop_
_atom_site_label
_atom_site_fract_x
_atom_site_fract_y
_atom_site_fract_z
Ca1 0.0000 0.0000 0.0000
Be1 0.0000 0.0000 0.5000
I1 0.5000 0.5000 0.0000
F1 0.0000 0.5000 0.5000
```

---

Material: Ca2BeIF
Method: DFT, PBE-GGA
State: relaxed

## Properties
The crystal system is tetragonal. The value obtained for the uncorrected formation energy is -0.673 eV per atom.

```
data_Ca2BeIF
_chemical_formula_sum 'Ca2 Be1 I1 F1'
_cell_length_a 5.6374
_cell_length_b 5.6374
_cell_length_c 4.1780
_cell_angle_alpha 90.00
_cell_angle_beta 90.00
_cell_angle_gamma 90.00
_symmetry_space_group_name_H-M 'P 4/m m m'
_symmetry_Int_Tables_number 123
_symmetry_space_group_name_Hall '-P 4 2'
loop_
_atom_site_label
_atom_site_fract_x
_atom_site_fract_y
_atom_site_fract_z
Ca1 0.0000 0.5000 0.0000
Be1 0.0000 0.0000 0.0000
I1 0.5000 0.5000 0.5000
F1 0.0000 0.0000 0.5000
```

---

Material: CaBe2InF
Method: DFT, PBE-GGA
State: relaxed

## Properties
The crystal system is tetragonal. The value obtained for the uncorrected formation energy is -0.100 eV per atom.

```
data_CaBe2InF
_chemical_formula_sum 'Ca1 Be2 In1 F1'
_cell_length_a 4.3880
_cell_length_b 4.3880
_cell_length_c 6.3366
_cell_angle_alpha 90.00
_cell_angle_beta 90.00
_cell_angle_gamma 90.00
_symmetry_space_group_name_H-M 'P 4/m m m'
_symmetry_Int_Tables_number 123
_symmetry_space_group_name_Hall '-P 4 2'
loop_
_atom_site_label
_atom_site_fract_x
_atom_site_fract_y
_atom_site_fract_z
Ca1 0.0000 0.0000 0.0000
Be1 0.0000 0.5000 0.5000
In1 0.0000 0.0000 0.5000
F1 0.5000 0.5000 0.0000
```

---

Material: KCaBeF5
Method: DFT, PBE-GGA
State: relaxed

## Properties
The crystal system is monoclinic. The value obtained for the uncorrected formation energy is -3.419 eV per atom.

```
data_KCaBeF5
_chemical_formula_sum 'K4 Ca4 Be4 F20'
_cell_length_a 7.1272
_cell_length_b 9.5816
_cell_length_c 8.0584
_cell_angle_alpha 90.00
_cell_angle_beta 112.84
_cell_angle_gamma 90.00
_symmetry_space_group_name_H-M 'C 1 2/c 1'
_symmetry_Int_Tables_number 15
loop_
_symmetry_equiv_pos_as_xyz
'x,y,z'
'-x,-y,-z'
'-x,y,-z+1/2'
'x,-y,z+1/2'
'x+1/2,y+1/2,z'
'-x+1/2,-y+1/2,-z'
'-x+1/2,y+1/2,-z+1/2'
'x+1/2,-y+1/2,z+1/2'
loop_
_atom_site_label
_atom_site_fract_x
_atom_site_fract_y
_atom_site_fract_z
K1 0.0000 0.1566 0.2500
Ca1 0.0000 0.5000 0.0000
Be1 0.0000 0.1881 0.7500
F1 0.0000 0.4163 0.2500
F2 0.0924 0.2837 0.6399
F3 0.1686 0.0887 0.8851
```

---

E across the listed records, respectively: -46.94, -101.42, -121.72, -17.93, -14.51, -14.56, -174.15 eV/cell.